VASP calculation (PBE-GGA) on a relaxed structure of HfMg2Pt3.

Values from the calculation:
M_tot ... 0.0 μB per formula unit
ΔE_f ... -965 meV/atom
Final energy ... -6.176 eV per atom

The structure in CIF format:
```
data_HfMg2Pt3
_chemical_formula_sum 'Hf2 Mg4 Pt6'
_symmetry_space_group_name_H-M 'P 1'
_symmetry_Int_Tables_number 1
_cell_length_a 4.5812
_cell_length_b 4.5812
_cell_length_c 11.1879
_cell_angle_alpha 90.00
_cell_angle_beta 90.00
_cell_angle_gamma 120.00
loop_
_symmetry_equiv_pos_as_xyz
'x,y,z'
loop_
_atom_site_label
_atom_site_fract_x
_atom_site_fract_y
_atom_site_fract_z
_atom_site_occupancy
Hf1 0.3333 0.6667 0.6696 1
Hf2 0.6667 0.3333 0.3304 1
Mg1 0.0000 0.0000 0.5000 1
Mg2 0.3333 0.6667 0.1583 1
Mg3 0.6667 0.3333 0.8417 1
Mg4 0.0000 0.0000 0.0000 1
Pt1 0.3333 0.6667 0.4140 1
Pt2 0.6667 0.3333 0.0879 1
Pt3 0.0000 0.0000 0.7500 1
Pt4 0.0000 0.0000 0.2500 1
Pt5 0.3333 0.6667 0.9121 1
Pt6 0.6667 0.3333 0.5860 1
```

***

VASP calculation (PBE-GGA) on a relaxed structure of HfMg2Pt2.

Values from the calculation:
M_tot ... 0.0 μB per formula unit
ΔE to the lowest computed polymorph ... 0.102 eV per atom
ΔE_f ... -741 meV/atom
Final energy ... -5.786 eV per atom

The structure in CIF format:
```
data_HfMg2Pt2
_chemical_formula_sum 'Hf2 Mg4 Pt4'
_symmetry_space_group_name_H-M 'P 1'
_symmetry_Int_Tables_number 1
_cell_length_a 6.9486
_cell_length_b 6.9486
_cell_length_c 3.9119
_cell_angle_alpha 90.00
_cell_angle_beta 90.00
_cell_angle_gamma 90.00
loop_
_symmetry_equiv_pos_as_xyz
'x,y,z'
loop_
_atom_site_label
_atom_site_fract_x
_atom_site_fract_y
_atom_site_fract_z
_atom_site_occupancy
Mg1 0.1614 0.6614 0.5000 1
Mg2 0.6614 0.8386 0.5000 1
Mg3 0.8386 0.3386 0.5000 1
Mg4 0.3386 0.1614 0.5000 1
Hf1 0.0000 0.0000 0.0000 1
Hf2 0.5000 0.5000 0.0000 1
Pt1 0.3615 0.8615 0.0000 1
Pt2 0.8615 0.6385 0.0000 1
Pt3 0.6385 0.1385 0.0000 1
Pt4 0.1385 0.3615 0.0000 1
```

***

VASP calculation (PBE-GGA) on a relaxed structure of Hf2MgPt.

Values from the calculation:
M_tot ... 0.0 μB per formula unit
ΔE_f ... -416 meV/atom
Final energy ... -7.301 eV per atom

The structure in CIF format:
```
data_Hf2MgPt
_chemical_formula_sum 'Hf2 Mg1 Pt1'
_symmetry_space_group_name_H-M 'P 1'
_symmetry_Int_Tables_number 1
_cell_length_a 4.1813
_cell_length_b 4.2669
_cell_length_c 4.2669
_cell_angle_alpha 90.00
_cell_angle_beta 90.00
_cell_angle_gamma 90.00
loop_
_symmetry_equiv_pos_as_xyz
'x,y,z'
loop_
_atom_site_label
_atom_site_fract_x
_atom_site_fract_y
_atom_site_fract_z
_atom_site_occupancy
Mg1 0.5000 0.0000 0.0000 1
Hf1 0.0000 0.0000 0.5000 1
Hf2 0.0000 0.5000 0.0000 1
Pt1 0.5000 0.5000 0.5000 1
```

***

VASP calculation (PBE-GGA) on a relaxed structure of HfMgPt.

Values from the calculation:
M_tot ... 0.4 μB per formula unit
ΔE_f ... -612 meV/atom
Final energy ... -6.475 eV per atom

The structure in CIF format:
```
data_HfMgPt
_chemical_formula_sum 'Hf1 Mg1 Pt1'
_symmetry_space_group_name_H-M 'P 1'
_symmetry_Int_Tables_number 1
_cell_length_a 4.4867
_cell_length_b 4.4867
_cell_length_c 4.4867
_cell_angle_alpha 60.00
_cell_angle_beta 60.00
_cell_angle_gamma 60.00
loop_
_symmetry_equiv_pos_as_xyz
'x,y,z'
loop_
_atom_site_label
_atom_site_fract_x
_atom_site_fract_y
_atom_site_fract_z
_atom_site_occupancy
Mg1 0.5000 0.5000 0.5000 1
Hf1 0.0000 0.0000 0.0000 1
Pt1 0.2500 0.2500 0.2500 1
```

***

VASP calculation (PBE-GGA) on a relaxed structure of HfMg2Pt2.

Values from the calculation:
M_tot ... 0.0 μB per formula unit
ΔE to the lowest computed polymorph ... 0.000 eV per atom
ΔE_f ... -843 meV/atom
Final energy ... -5.888 eV per atom

The structure in CIF format:
```
data_HfMg2Pt2
_chemical_formula_sum 'Hf4 Mg8 Pt8'
_symmetry_space_group_name_H-M 'P 1'
_symmetry_Int_Tables_number 1
_cell_length_a 4.6066
_cell_length_b 5.7579
_cell_length_c 13.6503
_cell_angle_alpha 90.00
_cell_angle_beta 90.00
_cell_angle_gamma 90.00
loop_
_symmetry_equiv_pos_as_xyz
'x,y,z'
loop_
_atom_site_label
_atom_site_fract_x
_atom_site_fract_y
_atom_site_fract_z
_atom_site_occupancy
Hf1 0.7500 0.1747 0.5464 1
Hf2 0.2500 0.3253 0.0464 1
Hf3 0.2500 0.8253 0.4536 1
Hf4 0.7500 0.6747 0.9536 1
Mg1 0.7500 0.3109 0.7716 1
Mg2 0.2500 0.1891 0.2716 1
Mg3 0.2500 0.6891 0.2284 1
Mg4 0.7500 0.8109 0.7284 1
Mg5 0.7500 0.9838 0.1523 1
Mg6 0.2500 0.5162 0.6523 1
Mg7 0.2500 0.0162 0.8477 1
Mg8 0.7500 0.4838 0.3477 1
Pt1 0.7500 0.6547 0.5430 1
Pt2 0.2500 0.8453 0.0430 1
Pt3 0.2500 0.3453 0.4570 1
Pt4 0.7500 0.1547 0.9570 1
Pt5 0.7500 0.9715 0.3622 1
Pt6 0.2500 0.5285 0.8622 1
Pt7 0.2500 0.0285 0.6378 1
Pt8 0.7500 0.4715 0.1378 1
```

***

VASP calculation (PBE-GGA) on a relaxed structure of HfMg3Pt4.

Values from the calculation:
M_tot ... 0.0 μB per formula unit
ΔE_f ... -954 meV/atom
Final energy ... -5.817 eV per atom

The structure in CIF format:
```
data_HfMg3Pt4
_chemical_formula_sum 'Hf2 Mg6 Pt8'
_symmetry_space_group_name_H-M 'P 1'
_symmetry_Int_Tables_number 1
_cell_length_a 4.7713
_cell_length_b 5.9214
_cell_length_c 9.3826
_cell_angle_alpha 90.00
_cell_angle_beta 90.00
_cell_angle_gamma 90.00
loop_
_symmetry_equiv_pos_as_xyz
'x,y,z'
loop_
_atom_site_label
_atom_site_fract_x
_atom_site_fract_y
_atom_site_fract_z
_atom_site_occupancy
Mg1 0.0000 0.0000 0.0000 1
Mg2 0.0000 0.0000 0.5000 1
Mg3 0.5731 0.0000 0.7500 1
Mg4 0.4269 0.0000 0.2500 1
Mg5 0.5588 0.5000 0.7500 1
Mg6 0.4412 0.5000 0.2500 1
Hf1 0.0000 0.5000 0.0000 1
Hf2 0.0000 0.5000 0.5000 1
Pt1 0.5000 0.7528 0.0000 1
Pt2 0.5000 0.7528 0.5000 1
Pt3 0.5000 0.2472 0.0000 1
Pt4 0.5000 0.2472 0.5000 1
Pt5 0.0768 0.7534 0.7500 1
Pt6 0.9232 0.7534 0.2500 1
Pt7 0.9232 0.2466 0.2500 1
Pt8 0.0768 0.2466 0.7500 1
```

***

VASP calculation (PBE-GGA) on a relaxed structure of HfMg2Pt2.

Values from the calculation:
M_tot ... 0.0 μB per formula unit
ΔE to the lowest computed polymorph ... 0.166 eV per atom
ΔE_f ... -677 meV/atom
Final energy ... -5.722 eV per atom

The structure in CIF format:
```
data_HfMg2Pt2
_chemical_formula_sum 'Hf2 Mg4 Pt4'
_symmetry_space_group_name_H-M 'P 1'
_symmetry_Int_Tables_number 1
_cell_length_a 7.7416
_cell_length_b 7.7416
_cell_length_c 2.8688
_cell_angle_alpha 90.00
_cell_angle_beta 90.00
_cell_angle_gamma 90.00
loop_
_symmetry_equiv_pos_as_xyz
'x,y,z'
loop_
_atom_site_label
_atom_site_fract_x
_atom_site_fract_y
_atom_site_fract_z
_atom_site_occupancy
Mg1 0.3780 0.8780 0.0000 1
Mg2 0.8780 0.6220 0.0000 1
Mg3 0.6220 0.1220 0.0000 1
Mg4 0.1220 0.3780 0.0000 1
Hf1 0.0000 0.0000 0.0000 1
Hf2 0.5000 0.5000 0.0000 1
Pt1 0.1773 0.6773 0.5000 1
Pt2 0.6773 0.8227 0.5000 1
Pt3 0.8227 0.3227 0.5000 1
Pt4 0.3227 0.1773 0.5000 1
```

***

VASP calculation (PBE-GGA) on a relaxed structure of HfMg5Pt6.

Values from the calculation:
M_tot ... 0.0 μB per formula unit
ΔE_f ... -930 meV/atom
Final energy ... -5.444 eV per atom

The structure in CIF format:
```
data_HfMg5Pt6
_chemical_formula_sum 'Hf1 Mg5 Pt6'
_symmetry_space_group_name_H-M 'P 1'
_symmetry_Int_Tables_number 1
_cell_length_a 4.5165
_cell_length_b 6.4980
_cell_length_c 7.3374
_cell_angle_alpha 90.00
_cell_angle_beta 66.17
_cell_angle_gamma 90.00
loop_
_symmetry_equiv_pos_as_xyz
'x,y,z'
loop_
_atom_site_label
_atom_site_fract_x
_atom_site_fract_y
_atom_site_fract_z
_atom_site_occupancy
Mg1 0.6718 0.5000 0.6703 1
Mg2 0.3201 0.0000 0.3401 1
Mg3 0.0000 0.5000 0.0000 1
Mg4 0.6799 0.0000 0.6599 1
Mg5 0.3282 0.5000 0.3297 1
Hf1 0.0000 0.0000 0.0000 1
Pt1 0.8258 0.7479 0.3315 1
Pt2 0.8258 0.2521 0.3315 1
Pt3 0.5000 0.2475 0.0000 1
Pt4 0.5000 0.7525 0.0000 1
Pt5 0.1742 0.7479 0.6685 1
Pt6 0.1742 0.2521 0.6685 1
```